Entry 1:
6
Lattice="-1.807 8.220 1.882 1.807 -8.220 1.882 1.807 8.220 -1.882" Properties=species:S:1:pos:R:3 comment="SrPF | the Alexandria database | GGA-PBE | relaxed" e_tot_ev_per_atom=-5.21 magmom_total_mub_per_fu=0.0 spacegroup="Imm2, No. 44" rho_g_cm3=4.086 pbc="T T T"
Sr 0.000 2.437 0.000
Sr 0.000 14.003 0.000
P 1.807 0.000 0.382
P 0.000 0.000 1.833
F 0.000 4.985 0.033
F 0.000 11.455 0.033

---

Entry 2:
4
Lattice="2.477 1.430 8.075 -2.477 1.430 8.075 0.000 -2.860 8.075" Properties=species:S:1:pos:R:3 comment="ErTlSn2 | the Alexandria database | GGA-PBE | relaxed" e_tot_ev_per_atom=-3.51 magmom_total_mub_per_fu=0.0 dos_ef_per_ev_cell=3.76 spacegroup="R-3m, No. 166" rho_g_cm3=5.892 pbc="T T T"
Er 0.000 0.000 0.000
Tl 0.000 0.000 12.112
Sn 0.000 0.000 9.191
Sn 0.000 0.000 15.033

---

Entry 3:
12
Lattice="4.124 0.000 0.000 0.000 4.124 0.000 0.000 0.000 12.369" Properties=species:S:1:pos:R:3 comment="SmEr2Pt9 | the Alexandria database | GGA-PBE | relaxed" e_tot_ev_per_atom=-6.71 magmom_total_mub_per_fu=0.0 dos_ef_per_ev_cell=11.34 spacegroup="P4/mmm, No. 123" rho_g_cm3=17.691 pbc="T T T"
Sm 0.000 0.000 0.000
Er 0.000 0.000 4.144
Er 0.000 0.000 8.225
Pt 0.000 2.062 2.121
Pt 0.000 2.062 6.184
Pt 0.000 2.062 10.248
Pt 2.062 0.000 2.121
Pt 2.062 0.000 6.184
Pt 2.062 0.000 10.248
Pt 2.062 2.062 0.000
Pt 2.062 2.062 4.151
Pt 2.062 2.062 8.217

---

Entry 4:
8
Lattice="-4.312 4.312 3.064 4.312 -4.312 3.064 4.312 4.312 -3.064" Properties=species:S:1:pos:R:3 comment="Ca2TaPb | the Alexandria database | GGA-PBE | relaxed" e_tot_ev_per_atom=-4.15 magmom_total_mub_per_fu=1.9 dos_ef_per_ev_cell=5.53 spacegroup="I-42d, No. 122" rho_g_cm3=6.827 pbc="T T T"
Ca 2.156 -2.155 2.298
Ca 2.156 2.156 0.766
Ca 2.156 6.467 -0.766
Ca 2.155 2.156 3.830
Ta 0.000 0.000 0.000
Ta 0.000 4.312 1.532
Pb 4.312 0.000 1.532
Pb 0.000 0.000 3.064

---

Entry 5:
9
Lattice="5.042 -2.282 0.000 5.042 2.282 0.000 -4.549 0.000 7.264" Properties=species:S:1:pos:R:3 comment="Pu2U4Tc3 | the Alexandria database | GGA-PBE | relaxed" e_tot_ev_per_atom=-11.73 magmom_total_mub_per_fu=8.5 dos_ef_per_ev_cell=19.73 spacegroup="C2/m, No. 12" rho_g_cm3=17.231 pbc="T T T"
Pu -0.341 0.000 1.684
Pu 5.876 0.000 5.579
U 2.296 0.000 0.821
U 1.521 0.000 4.246
U 4.014 0.000 3.018
U 3.239 0.000 6.442
Tc -1.310 0.000 4.782
Tc 5.042 0.000 0.000
Tc 6.845 0.000 2.482

---

Entry 6:
4
Lattice="3.967 0.000 0.000 0.000 3.967 0.000 0.000 0.000 6.741" Properties=species:S:1:pos:R:3 comment="AcSmGe2 | the Alexandria database | GGA-PBE | relaxed" e_tot_ev_per_atom=-5.15 magmom_total_mub_per_fu=0.0 dos_ef_per_ev_cell=3.08 spacegroup="P4/mmm, No. 123" rho_g_cm3=8.183 pbc="T T T"
Ac 0.000 0.000 0.000
Sm 0.000 0.000 3.370
Ge 1.983 1.983 2.013
Ge 1.983 1.983 4.728

---

Entry 7:
16
Lattice="4.675 0.000 0.000 0.000 4.675 0.000 0.000 0.000 18.647" Properties=species:S:1:pos:R:3 comment="CaPu3In12 | the Alexandria database | GGA-PBE | relaxed" e_tot_ev_per_atom=-5.11 magmom_total_mub_per_fu=5.7 dos_ef_per_ev_cell=40.86 spacegroup="P4/mmm, No. 123" rho_g_cm3=8.760 pbc="T T T"
Ca 0.000 0.000 0.000
Pu 0.000 0.000 4.671
Pu 0.000 0.000 9.323
Pu 0.000 0.000 13.976
In 0.000 2.337 2.366
In 0.000 2.337 7.002
In 0.000 2.337 11.645
In 0.000 2.337 16.281
In 2.337 0.000 2.366
In 2.337 0.000 7.002
In 2.337 0.000 11.645
In 2.337 0.000 16.281
In 2.337 2.337 0.000
In 2.337 2.337 4.692
In 2.337 2.337 9.323
In 2.337 2.337 13.955

---

Entry 8:
10
Lattice="-2.019 2.019 11.338 2.019 -2.019 11.338 2.019 2.019 -11.338" Properties=species:S:1:pos:R:3 comment="MgTlF3 | the Alexandria database | GGA-PBE | relaxed" e_tot_ev_per_atom=-3.76 magmom_total_mub_per_fu=0.2 dos_ef_per_ev_cell=2.62 spacegroup="I-4m2, No. 119" rho_g_cm3=5.133 pbc="T T T"
Mg 0.000 0.000 2.727
Mg 0.000 0.000 19.948
Tl 0.000 0.000 11.338
Tl 0.000 2.019 5.669
F 2.019 0.000 1.644
F 2.019 1.005 -3.126
F 2.019 0.000 9.693
F 0.000 1.014 8.211
F 1.005 2.019 3.126
F 1.014 0.000 14.464

---

Entry 9:
10
Lattice="3.287 -7.025 0.000 3.287 7.025 0.000 0.000 0.000 3.952" Properties=species:S:1:pos:R:3 comment="Zr3SbH | the Alexandria database | GGA-PBE | relaxed" e_tot_ev_per_atom=-7.10 magmom_total_mub_per_fu=0.0 dos_ef_per_ev_cell=7.99 spacegroup="Cmmm, No. 65" rho_g_cm3=7.213 pbc="T T T"
Zr 1.644 3.512 1.976
Zr 3.287 5.262 0.000
Zr 1.753 0.000 1.976
Zr 1.644 -3.512 1.976
Zr 4.822 0.000 1.976
Zr 3.287 -5.262 0.000
Sb 3.287 1.873 0.000
Sb 3.287 -1.873 0.000
H 3.287 4.804 1.976
H 3.287 -4.804 1.976

---

Entry 10:
14
Lattice="11.423 0.000 0.000 0.000 3.164 0.000 -5.705 0.000 9.900" Properties=species:S:1:pos:R:3 comment="Li3Mg3Al | the Alexandria database | GGA-PBE | relaxed" e_tot_ev_per_atom=-1.88 magmom_total_mub_per_fu=0.0 dos_ef_per_ev_cell=5.79 spacegroup="P2_1/m, No. 11" rho_g_cm3=1.121 pbc="T T T"
Li -0.505 0.791 2.618
Li -2.007 0.791 8.150
Li 0.340 2.373 5.820
Li 5.378 0.791 4.080
Li 7.724 2.373 1.750
Li 6.223 2.373 7.282
Mg -4.415 0.791 9.782
Mg 2.112 0.791 3.891
Mg 0.550 2.373 8.723
Mg 5.167 0.791 1.176
Mg 3.606 2.373 6.009
Mg 10.132 2.373 0.117
Al 2.855 2.373 1.651
Al 2.863 0.791 8.249

---

Entry 11:
5
Lattice="6.611 0.000 0.000 0.000 6.611 0.000 0.000 0.000 4.682" Properties=species:S:1:pos:R:3 comment="Rb2NbOsPd | the Alexandria database | GGA-PBE | relaxed" e_tot_ev_per_atom=-4.16 magmom_total_mub_per_fu=0.7 dos_ef_per_ev_cell=4.72 spacegroup="P4/mmm, No. 123" rho_g_cm3=4.549 pbc="T T T"
Rb 0.000 3.305 0.000
Rb 3.305 0.000 0.000
Nb 0.000 0.000 2.341
Os 0.000 0.000 0.000
Pd 3.305 3.305 2.341

---

Entry 12:
28
Lattice="9.434 -3.073 0.000 9.434 3.073 0.000 0.000 0.000 11.698" Properties=species:S:1:pos:R:3 comment="La3SiRh3 | the Alexandria database | GGA-PBE | relaxed" e_tot_ev_per_atom=-6.76 magmom_total_mub_per_fu=0.0 dos_ef_per_ev_cell=16.52 spacegroup="Cmce, No. 64" rho_g_cm3=7.379 pbc="T T T"
La 6.074 1.965 1.554
La 6.074 1.108 7.403
La 9.434 2.050 9.952
La 9.434 1.023 4.104
La 12.794 1.965 1.554
La 12.794 1.108 7.403
La 6.074 -1.108 4.294
La 6.074 -1.965 10.143
La 9.434 -1.023 7.594
La 9.434 -2.050 1.745
La 12.794 -1.108 4.294
La 12.794 -1.965 10.143
Si 1.645 0.000 5.849
Si 7.789 0.000 0.000
Si 11.079 0.000 0.000
Si 17.223 0.000 5.849
Rh 6.330 1.842 4.440
Rh 6.330 1.231 10.288
Rh 9.434 1.894 7.078
Rh 9.434 1.179 1.229
Rh 12.538 1.842 4.440
Rh 12.538 1.231 10.288
Rh 6.330 -1.231 1.409
Rh 6.330 -1.842 7.258
Rh 9.434 -1.179 10.469
Rh 9.434 -1.894 4.620
Rh 12.538 -1.231 1.409
Rh 12.538 -1.842 7.258

---

no.,V (Å³/cell)
1,111.83
2,171.66
3,210.31
4,227.82
5,167.12
6,106.06
7,407.54
8,184.83
9,182.52
10,357.76
11,204.61
12,678.27